Density functional theory data (PBE) for an optimized crystal structure of AcTbGaCu.

Properties
ΔE_f: -6.50 kcal/mol of atoms
calculated total energy: -4.25 eV per atom
total magnetic moment: 0.0000 μB/atom

Lattice parameters (Å, degrees): 5.270 5.270 5.270 60.00 60.00 60.00
Fractional coordinates of all 4 atoms:
Ac1 0.500 0.500 0.500
Tb1 0.000 0.000 0.000
Cu1 0.750 0.750 0.750
Ga1 0.250 0.250 0.250